1.
The following is a DFT calculation (GGA-PBE) of a relaxed HfSi2Pb crystal.

Unit cell a=4.9015 b=4.9015 c=4.9015 alpha=60.00 beta=60.00 gamma=60.00
Sites, in units of the cell vectors:
Hf (0.5000, 0.5000, 0.5000)
Pb (0.7500, 0.7500, 0.7500)
Si (0.0000, 0.0000, 0.0000)
Si (0.2500, 0.2500, 0.2500)

Results
Raw total energy (eV/atom): -5.540
Space group: F-43m, No. 216

---

2.
The following is a DFT calculation (GGA-PBE) of a relaxed SmHfPb crystal.

Unit cell a=5.0218 b=5.0218 c=5.0218 alpha=60.00 beta=60.00 gamma=60.00
Sites, in units of the cell vectors:
Hf (0.2500, 0.2500, 0.2500)
Pb (0.0000, 0.0000, 0.0000)
Sm (0.7500, 0.7500, 0.7500)

Results
Raw total energy (eV/atom): -5.907
Space group: F-43m, No. 216

---

3.
The following is a DFT calculation (GGA-PBE) of a relaxed SmHfPb crystal.

Unit cell a=5.1592 b=5.1592 c=5.1592 alpha=60.00 beta=60.00 gamma=60.00
Sites, in units of the cell vectors:
Hf (0.2500, 0.2500, 0.2500)
Pb (0.7500, 0.7500, 0.7500)
Sm (0.0000, 0.0000, 0.0000)

Results
Raw total energy (eV/atom): -5.343
Space group: F-43m, No. 216

---

4.
The following is a DFT calculation (GGA-PBE) of a relaxed HfSn2Pb crystal.

Unit cell a=5.2838 b=5.2838 c=5.2838 alpha=60.00 beta=60.00 gamma=60.00
Sites, in units of the cell vectors:
Hf (0.5000, 0.5000, 0.5000)
Pb (0.7500, 0.7500, 0.7500)
Sn (0.0000, 0.0000, 0.0000)
Sn (0.2500, 0.2500, 0.2500)

Results
Raw total energy (eV/atom): -5.114
Space group: F-43m, No. 216

---

5.
The following is a DFT calculation (GGA-PBE) of a relaxed HfSnPb2 crystal.

Unit cell a=5.3418 b=5.3418 c=5.3418 alpha=60.00 beta=60.00 gamma=60.00
Sites, in units of the cell vectors:
Hf (0.2500, 0.2500, 0.2500)
Pb (0.0000, 0.0000, 0.0000)
Pb (0.7500, 0.7500, 0.7500)
Sn (0.5000, 0.5000, 0.5000)

Results
Raw total energy (eV/atom): -5.033
Space group: F-43m, No. 216

---

6.
The following is a DFT calculation (GGA-PBE) of a relaxed SrHfPb crystal.

Unit cell a=5.6619 b=5.6619 c=3.2224 alpha=90.00 beta=90.00 gamma=120.00
Sites, in units of the cell vectors:
Hf (0.0000, 0.0000, 0.0000)
Pb (0.3333, 0.6667, 0.0000)
Sr (0.6667, 0.3333, 0.0000)

Results
Raw total energy (eV/atom): -4.508
Space group: P-6m2, No. 187

---

7.
The following is a DFT calculation (GGA-PBE) of a relaxed SrHfPb crystal.

Unit cell a=5.2001 b=5.2001 c=5.2001 alpha=60.00 beta=60.00 gamma=60.00
Sites, in units of the cell vectors:
Hf (0.2500, 0.2500, 0.2500)
Pb (0.0000, 0.0000, 0.0000)
Sr (0.7500, 0.7500, 0.7500)

Results
Raw total energy (eV/atom): -4.703
Space group: F-43m, No. 216

---

8.
The following is a DFT calculation (GGA-PBE) of a relaxed SrHfPb crystal.

Unit cell a=5.3187 b=5.3187 c=5.3187 alpha=60.00 beta=60.00 gamma=60.00
Sites, in units of the cell vectors:
Hf (0.2500, 0.2500, 0.2500)
Pb (0.7500, 0.7500, 0.7500)
Sr (0.0000, 0.0000, 0.0000)

Results
Raw total energy (eV/atom): -4.070
Space group: F-43m, No. 216

---

9.
The following is a DFT calculation (GGA-PBE) of a relaxed Hf2TaPb2 crystal.

Unit cell a=7.2501 b=7.2501 c=7.2501 alpha=146.53 beta=146.53 gamma=48.06
Sites, in units of the cell vectors:
Hf (0.7500, 0.2500, 0.5000)
Hf (0.2500, 0.7500, 0.5000)
Pb (0.3991, 0.3991, 0.0000)
Pb (0.6009, 0.6009, 0.0000)
Ta (0.0000, 0.0000, 0.0000)

Results
Raw total energy (eV/atom): -7.022
Space group: I4/mmm, No. 139

---

10.
The following is a DFT calculation (GGA-PBE) of a relaxed HfTa2Pb crystal.

Unit cell a=4.8549 b=4.8549 c=4.8549 alpha=60.00 beta=60.00 gamma=60.00
Sites, in units of the cell vectors:
Hf (0.2500, 0.2500, 0.2500)
Pb (0.5000, 0.5000, 0.5000)
Ta (0.0000, 0.0000, 0.0000)
Ta (0.7500, 0.7500, 0.7500)

Results
Raw total energy (eV/atom): -9.027
Space group: F-43m, No. 216

---

11.
The following is a DFT calculation (GGA-PBE) of a relaxed HfTaPb2 crystal.

Unit cell a=5.1164 b=5.1164 c=5.1164 alpha=60.00 beta=60.00 gamma=60.00
Sites, in units of the cell vectors:
Hf (0.5000, 0.5000, 0.5000)
Pb (0.0000, 0.0000, 0.0000)
Pb (0.2500, 0.2500, 0.2500)
Ta (0.7500, 0.7500, 0.7500)

Results
Raw total energy (eV/atom): -6.627
Space group: F-43m, No. 216

---

12.
The following is a DFT calculation (GGA-PBE) of a relaxed Hf2TaPb crystal.

Unit cell a=4.9250 b=4.9250 c=4.9250 alpha=60.00 beta=60.00 gamma=60.00
Sites, in units of the cell vectors:
Hf (0.0000, 0.0000, 0.0000)
Hf (0.7500, 0.7500, 0.7500)
Pb (0.5000, 0.5000, 0.5000)
Ta (0.2500, 0.2500, 0.2500)

Results
Raw total energy (eV/atom): -8.521
Space group: F-43m, No. 216

---

13.
The following is a DFT calculation (GGA-PBE) of a relaxed TbHfPb crystal.

Unit cell a=4.9752 b=4.9752 c=4.9752 alpha=60.00 beta=60.00 gamma=60.00
Sites, in units of the cell vectors:
Hf (0.2500, 0.2500, 0.2500)
Pb (0.0000, 0.0000, 0.0000)
Tb (0.7500, 0.7500, 0.7500)

Results
Raw total energy (eV/atom): -5.875
Space group: F-43m, No. 216

---

14.
The following is a DFT calculation (GGA-PBE) of a relaxed Hf2TcPb crystal.

Unit cell a=4.8154 b=4.8154 c=4.8154 alpha=60.00 beta=60.00 gamma=60.00
Sites, in units of the cell vectors:
Hf (0.0000, 0.0000, 0.0000)
Hf (0.7500, 0.7500, 0.7500)
Pb (0.5000, 0.5000, 0.5000)
Tc (0.2500, 0.2500, 0.2500)

Results
Raw total energy (eV/atom): -8.321
Space group: F-43m, No. 216

---

15.
The following is a DFT calculation (GGA-PBE) of a relaxed HfTcPb crystal.

Unit cell a=4.5842 b=4.5842 c=4.5842 alpha=60.00 beta=60.00 gamma=60.00
Sites, in units of the cell vectors:
Hf (0.2500, 0.2500, 0.2500)
Pb (0.7500, 0.7500, 0.7500)
Tc (0.0000, 0.0000, 0.0000)

Results
Raw total energy (eV/atom): -7.700
Space group: F-43m, No. 216

---

16.
The following is a DFT calculation (GGA-PBE) of a relaxed HfTePb crystal.

Unit cell a=5.0038 b=5.0038 c=5.0038 alpha=60.00 beta=60.00 gamma=60.00
Sites, in units of the cell vectors:
Hf (0.2500, 0.2500, 0.2500)
Pb (0.7500, 0.7500, 0.7500)
Te (0.0000, 0.0000, 0.0000)

Results
Raw total energy (eV/atom): -5.201
Space group: F-43m, No. 216

---

17.
The following is a DFT calculation (GGA-PBE) of a relaxed HfTlPb crystal.

Unit cell a=4.9976 b=4.9976 c=4.9976 alpha=60.00 beta=60.00 gamma=60.00
Sites, in units of the cell vectors:
Hf (0.2500, 0.2500, 0.2500)
Pb (0.7500, 0.7500, 0.7500)
Tl (0.0000, 0.0000, 0.0000)

Results
Raw total energy (eV/atom): -4.596
Space group: F-43m, No. 216

---

18.
The following is a DFT calculation (GGA-PBE) of a relaxed Hf3TlPb5 crystal.

Unit cell a=6.0552 b=6.0552 c=8.0816 alpha=90.00 beta=90.00 gamma=120.00
Sites, in units of the cell vectors:
Hf (0.5000, 0.0000, 0.5000)
Hf (0.0000, 0.5000, 0.5000)
Hf (0.5000, 0.5000, 0.5000)
Pb (0.6667, 0.3333, 0.1864)
Pb (0.3333, 0.6667, 0.1864)
Pb (0.0000, 0.0000, 0.5000)
Pb (0.6667, 0.3333, 0.8136)
Pb (0.3333, 0.6667, 0.8136)
Tl (0.0000, 0.0000, 0.0000)

Results
Raw total energy (eV/atom): -5.483
Space group: P6/mmm, No. 191

---

19.
The following is a DFT calculation (GGA-PBE) of a relaxed Hf2Tl2Pb crystal.

Unit cell a=4.5002 b=4.5002 c=7.4028 alpha=107.70 beta=107.70 gamma=90.00
Sites, in units of the cell vectors:
Hf (0.7500, 0.2500, 0.5000)
Hf (0.2500, 0.7500, 0.5000)
Pb (0.0000, 0.0000, 0.0000)
Tl (0.6054, 0.6054, 0.2107)
Tl (0.3946, 0.3946, 0.7893)

Results
Raw total energy (eV/atom): -5.182
Space group: I4/mmm, No. 139

---

20.
The following is a DFT calculation (GGA-PBE) of a relaxed Hf2Tl2Pb crystal.

Unit cell a=4.3095 b=4.3095 c=7.3865 alpha=106.96 beta=106.96 gamma=90.00
Sites, in units of the cell vectors:
Hf (0.5977, 0.5977, 0.1954)
Hf (0.4023, 0.4023, 0.8046)
Pb (0.0000, 0.0000, 0.0000)
Tl (0.7500, 0.2500, 0.5000)
Tl (0.2500, 0.7500, 0.5000)

Results
Raw total energy (eV/atom): -5.186
Space group: I4/mmm, No. 139

---

21.
The following is a DFT calculation (GGA-PBE) of a relaxed TmHfPb crystal.

Unit cell a=4.9309 b=4.9309 c=4.9309 alpha=60.00 beta=60.00 gamma=60.00
Sites, in units of the cell vectors:
Hf (0.2500, 0.2500, 0.2500)
Pb (0.0000, 0.0000, 0.0000)
Tm (0.7500, 0.7500, 0.7500)

Results
Raw total energy (eV/atom): -5.788
Space group: F-43m, No. 216

---

22.
The following is a DFT calculation (GGA-PBE) of a relaxed HfUPb crystal.

Unit cell a=5.0894 b=5.0894 c=5.0894 alpha=60.00 beta=60.00 gamma=60.00
Sites, in units of the cell vectors:
Hf (0.2500, 0.2500, 0.2500)
Pb (0.7500, 0.7500, 0.7500)
U (0.0000, 0.0000, 0.0000)

Results
Raw total energy (eV/atom): -7.157
Space group: F-43m, No. 216

---

23.
The following is a DFT calculation (GGA-PBE) of a relaxed HfUPb crystal.

Unit cell a=5.0169 b=5.0169 c=5.0169 alpha=60.00 beta=60.00 gamma=60.00
Sites, in units of the cell vectors:
Hf (0.5000, 0.5000, 0.5000)
Pb (0.2500, 0.2500, 0.2500)
U (0.0000, 0.0000, 0.0000)

Results
Raw total energy (eV/atom): -7.452
Space group: F-43m, No. 216

---

24.
The following is a DFT calculation (GGA-PBE) of a relaxed HfPb2W crystal.

Unit cell a=5.0437 b=5.0437 c=5.0437 alpha=60.00 beta=60.00 gamma=60.00
Sites, in units of the cell vectors:
Hf (0.2500, 0.2500, 0.2500)
Pb (0.0000, 0.0000, 0.0000)
Pb (0.7500, 0.7500, 0.7500)
W (0.5000, 0.5000, 0.5000)

Results
Raw total energy (eV/atom): -6.768
Space group: F-43m, No. 216

---

25.
The following is a DFT calculation (GGA-PBE) of a relaxed Hf2PbW crystal.

Unit cell a=4.8543 b=4.8543 c=4.8543 alpha=60.00 beta=60.00 gamma=60.00
Sites, in units of the cell vectors:
Hf (0.0000, 0.0000, 0.0000)
Hf (0.7500, 0.7500, 0.7500)
Pb (0.5000, 0.5000, 0.5000)
W (0.2500, 0.2500, 0.2500)

Results
Raw total energy (eV/atom): -8.709
Space group: F-43m, No. 216

---

26.
The following is a DFT calculation (GGA-PBE) of a relaxed HfPbW crystal.

Unit cell a=4.7191 b=4.7191 c=4.7191 alpha=60.00 beta=60.00 gamma=60.00
Sites, in units of the cell vectors:
Hf (0.0000, 0.0000, 0.0000)
Pb (0.2500, 0.2500, 0.2500)
W (0.7500, 0.7500, 0.7500)

Results
Raw total energy (eV/atom): -7.637
Space group: F-43m, No. 216

---

27.
The following is a DFT calculation (GGA-PBE) of a relaxed YHfPb2 crystal.

Unit cell a=5.3798 b=5.3798 c=5.3798 alpha=60.00 beta=60.00 gamma=60.00
Sites, in units of the cell vectors:
Hf (0.2500, 0.2500, 0.2500)
Pb (0.5000, 0.5000, 0.5000)
Pb (0.7500, 0.7500, 0.7500)
Y (0.0000, 0.0000, 0.0000)

Results
Raw total energy (eV/atom): -5.662
Space group: F-43m, No. 216

---

28.
The following is a DFT calculation (GGA-PBE) of a relaxed YHfPb crystal.

Unit cell a=5.0936 b=5.0936 c=5.0936 alpha=60.00 beta=60.00 gamma=60.00
Sites, in units of the cell vectors:
Hf (0.0000, 0.0000, 0.0000)
Pb (0.2500, 0.2500, 0.2500)
Y (0.7500, 0.7500, 0.7500)

Results
Raw total energy (eV/atom): -6.124
Space group: F-43m, No. 216

---

29.
The following is a DFT calculation (GGA-PBE) of a relaxed YHf2Pb crystal.

Unit cell a=5.1414 b=5.1414 c=5.1414 alpha=60.00 beta=60.00 gamma=60.00
Sites, in units of the cell vectors:
Hf (0.0000, 0.0000, 0.0000)
Hf (0.7500, 0.7500, 0.7500)
Pb (0.5000, 0.5000, 0.5000)
Y (0.2500, 0.2500, 0.2500)

Results
Raw total energy (eV/atom): -7.376
Space group: F-43m, No. 216

---

30.
The following is a DFT calculation (GGA-PBE) of a relaxed Y2HfPb crystal.

Unit cell a=5.2834 b=5.2834 c=5.2834 alpha=60.00 beta=60.00 gamma=60.00
Sites, in units of the cell vectors:
Hf (0.2500, 0.2500, 0.2500)
Pb (0.5000, 0.5000, 0.5000)
Y (0.0000, 0.0000, 0.0000)
Y (0.7500, 0.7500, 0.7500)

Results
Raw total energy (eV/atom): -6.564
Space group: F-43m, No. 216

---

31.
The following is a DFT calculation (GGA-PBE) of a relaxed Y2HfPb2 crystal.

Unit cell a=7.9066 b=7.9066 c=4.3850 alpha=90.00 beta=90.00 gamma=90.00
Sites, in units of the cell vectors:
Hf (0.0000, 0.0000, 0.0000)
Hf (0.5000, 0.5000, 0.0000)
Pb (0.6432, 0.1432, 0.0000)
Pb (0.1432, 0.3568, 0.0000)
Pb (0.8568, 0.6432, 0.0000)
Pb (0.3568, 0.8568, 0.0000)
Y (0.3343, 0.1657, 0.5000)
Y (0.8343, 0.3343, 0.5000)
Y (0.1657, 0.6657, 0.5000)
Y (0.6657, 0.8343, 0.5000)

Results
Raw total energy (eV/atom): -6.359
Space group: P4/mbm, No. 127